A relaxed CeHf2Pd crystal. Source: Alexandria via LeMat-Bulk, functional GGA-PBE.

POSCAR file:
```
CeHf2Pd
1.0
3.349 0.000 0.000
0.000 3.349 0.000
0.000 0.000 7.703
Ce Hf Pd
1 2 1
direct
0.000 0.000 0.000 Ce
0.500 0.500 0.289 Hf
0.500 0.500 0.711 Hf
0.000 0.000 0.500 Pd
```

- size of the total moment (μB per formula unit) = 0.07
- density (Mg/m³) = 11.60
- DFT formation energy (eV per atom) = -0.251
- energy relative to the lowest polymorph listed for this composition (meV per atom) = 0.0
- space-group type = P4/mmm, No. 123
- V (Å³/atom) = 21.6
- total energy (eV for the cell shown) = -32.04